Material: ZnCoGeO4
Method: DFT, PBE+U
State: relaxed

## Properties
Space-group type: No. 63
E in eV per atom: -5.807

abc: 5.2886 5.2886 6.2710
angles: 90.00 90.00 114.15
With the nearest neighbours (Å) after each atom.
Fractional coordinates of all 14 atoms:
O (0.7469, 0.7799, 0.7500)  1 Ge 1.81
O (0.7799, 0.7469, 0.2500)  1 Ge 1.81
O (0.2682, 0.7318, 0.4785)  1 Ge 1.77, 1 Zn 1.94
O (0.2531, 0.2201, 0.2500)  1 Ge 1.81
O (0.2201, 0.2531, 0.7500)  1 Ge 1.81
O (0.7318, 0.2682, 0.9785)  1 Ge 1.77, 1 Zn 1.94
O (0.2682, 0.7318, 0.0215)  1 Ge 1.77, 1 Zn 1.94
O (0.7318, 0.2682, 0.5215)  1 Ge 1.77, 1 Zn 1.94
Zn (0.8376, 0.1624, 0.2500)  4 O 1.94-2.09
Zn (0.1624, 0.8376, 0.7500)  4 O 1.94-2.09
Co (0.5000, 0.5000, 0.5000)  6 O 2.06-2.18
Co (0.5000, 0.5000, 0.0000)  6 O 2.06-2.18
Ge (0.1517, 0.8483, 0.2500)  4 O 1.77-1.81
Ge (0.8483, 0.1517, 0.7500)  4 O 1.77-1.81